Entry from the Alexandria database: a crystal of NbH2Pd relaxed with PBEsol (SCAN).

D(E_F) = 1.2 states/eV per cell
Final energy = -71.86 eV for the cell shown

Lattice parameters (Å, degrees): 3.787 3.787 3.787 60.00 60.00 60.00
Fractional positions:
H  0.250  0.250  0.250
H  0.750  0.750  0.750
Pd  0.500  0.500  0.500
Nb  0.000  0.000  0.000

=====

Entry from the Alexandria database: a crystal of Rb2HgSe relaxed with PBEsol (SCAN).

D(E_F) = 0.0 states/eV per cell
Formation energy (no corrections) = -0.92 eV/atom

Lattice parameters (Å, degrees): 5.738 5.738 5.738 60.00 60.00 60.00
Fractional positions:
Hg  0.000  0.000  0.000
Rb  0.250  0.250  0.250
Rb  0.750  0.750  0.750
Se  0.500  0.500  0.500

=====

What is the D(E_F) in the second record? 0.0 states/eV per cell

=====

Among the records above, which one has the highest D(E_F)? NbH2Pd